No. 1
Compound: Te2Os
Source: the Alexandria database
Functional: GGA-PBE
Structure: relaxed

Cell: 5.1285 5.1285 3.0120 Å, 90.00 90.00 120.00°
Site moments in Bohr magnetons follow the coordinates.
Positions (direct):
Te: 0.6667 0.3333 0.0000  0.00
Te: 0.3333 0.6667 0.0000  0.00
Os: 0.0000 0.0000 0.5000  1.45

Computed properties:
Raw formation energy: 1508 meV/atom
DFT total energy: -4.329 eV/atom
Calculated volume: 22.87 Å³/atom
Density: 10.8 g cm⁻³


No. 2
Compound: Mn2TcRu
Source: the Alexandria database
Functional: GGA-PBE
Structure: relaxed

Cell: 4.6011 4.6011 4.5484 Å, 79.76 79.76 33.88°
Site moments in Bohr magnetons follow the coordinates.
Positions (direct):
Mn: 0.0034 0.0034 0.9874  2.23
Mn: 0.7475 0.7475 0.7615  -2.33
Ru: 0.4970 0.4970 0.4978  -0.10
Tc: 0.2522 0.2522 0.2533  0.00

Computed properties:
E_form: 0.06 eV per atom
DFT total energy: -9.432 eV/atom
Calculated volume: 13.19 Å³/atom
Density: 9.7 g cm⁻³


No. 3
Compound: Ti3Rh
Source: the Alexandria database
Functional: GGA-PBE
Structure: relaxed

Cell: 4.0046 4.0046 4.0046 Å, 90.00 90.00 90.00°
Positions (direct):
Rh: 0.0000 0.0000 0.0000
Ti: 0.0000 0.5000 0.5000
Ti: 0.5000 0.0000 0.5000
Ti: 0.5000 0.5000 0.0000

Computed properties:
E_form: -0.28 eV per atom
DFT total energy: -8.043 eV/atom
Calculated volume: 16.06 Å³/atom
Density: 6.4 g cm⁻³


No. 4
Compound: Ni2MoBr
Source: the Alexandria database
Functional: GGA-PBE
Structure: relaxed

Cell: 3.0523 3.0523 6.3115 Å, 90.00 90.00 90.00°
Positions (direct):
Br: 0.0000 0.0000 0.4998
Mo: 0.5000 0.5000 0.7915
Ni: 0.0000 0.0000 0.0054
Ni: 0.5000 0.5000 0.2032

Computed properties:
Relative energy among the computed polymorphs: 79 meV/atom
Raw formation energy: 412 meV/atom
DFT total energy: -5.605 eV/atom
Calculated volume: 14.70 Å³/atom
Density: 8.3 g cm⁻³


No. 5
Compound: MgIn2Cl5
Source: the Alexandria database
Functional: GGA-PBE
Structure: relaxed

Cell: 5.1487 8.0251 11.8521 Å, 90.00 90.00 108.71°
Positions (direct):
Mg: 0.8031 0.6062 0.7500
Mg: 0.1969 0.3938 0.2500
In: 0.8846 0.7693 0.3780
In: 0.8846 0.7693 0.1220
In: 0.1154 0.2307 0.6220
In: 0.1154 0.2307 0.8780
Cl: 0.9207 0.8415 0.8982
Cl: 0.9207 0.8415 0.6018
Cl: 0.3176 0.6351 0.4012
Cl: 0.3176 0.6351 0.0988
Cl: 0.7005 0.4010 0.2500
Cl: 0.2995 0.5990 0.7500
Cl: 0.6824 0.3649 0.5988
Cl: 0.6824 0.3649 0.9012
Cl: 0.0793 0.1585 0.1018
Cl: 0.0793 0.1585 0.3982

Computed properties:
Relative energy among the computed polymorphs: 15 meV/atom
Raw formation energy: -1188 meV/atom
DFT total energy: -3.226 eV/atom
Calculated volume: 28.99 Å³/atom
Density: 3.1 g cm⁻³


No. 6
Compound: Tl2HgAs
Source: the Alexandria database
Functional: GGA-PBE
Structure: relaxed

Cell: 5.3169 5.3169 5.3169 Å, 118.59 118.59 92.46°
Positions (direct):
As: 0.5000 0.5000 0.0000
Tl: 0.0000 0.0000 0.0000
Tl: 0.2500 0.7500 0.5000
Hg: 0.7500 0.2500 0.5000

Computed properties:
Relative energy among the computed polymorphs: 79 meV/atom
E_form: 0.12 eV per atom
DFT total energy: -2.300 eV/atom
Calculated volume: 27.11 Å³/atom
Density: 10.5 g cm⁻³


Question: Which of these has the lowest density?
Answer: MgIn2Cl5